(1)
Material: RbCa
Method: DFT, GGA-PBE
State: optimized geometry

Output
As for the total energy: -1.248 eV per atom. The calculation puts the density of states at the Fermi level at 14.4 states/eV/cell. Its space-group type is P6_3/m.

CIF file:
```
data_RbCa
_cell_length_a 14.273
_cell_length_b 14.273
_cell_length_c 4.221
_cell_angle_alpha 90.00
_cell_angle_beta 90.00
_cell_angle_gamma 120.00
_space_group_name_H-M_alt 'P 1'
_space_group_IT_number 1
loop_
_space_group_symop_operation_xyz
'x,y,z'
loop_
_atom_site_label
_atom_site_fract_x
_atom_site_fract_y
_atom_site_fract_z
Rb1 0.794 0.109 0.250
Rb2 0.684 0.794 0.750
Rb3 0.891 0.684 0.250
Rb4 0.206 0.891 0.750
Rb5 0.316 0.206 0.250
Rb6 0.109 0.316 0.750
Ca1 0.448 0.856 0.250
Ca2 0.592 0.448 0.750
Ca3 0.144 0.592 0.250
Ca4 0.552 0.144 0.750
Ca5 0.408 0.552 0.250
Ca6 0.856 0.408 0.750
```

=====

(2)
Material: RbCa
Method: DFT, GGA-PBE
State: optimized geometry

Output
As for the total energy: -1.182 eV per atom. The calculation puts the density of states at the Fermi level at 33.0 states/eV/cell. Its space-group type is Fddd.

CIF file:
```
data_RbCa
_cell_length_a 12.418
_cell_length_b 22.713
_cell_length_c 7.437
_cell_angle_alpha 90.00
_cell_angle_beta 90.00
_cell_angle_gamma 90.00
_space_group_name_H-M_alt 'P 1'
_space_group_IT_number 1
loop_
_space_group_symop_operation_xyz
'x,y,z'
loop_
_atom_site_label
_atom_site_fract_x
_atom_site_fract_y
_atom_site_fract_z
Rb1 0.335 0.000 0.000
Rb2 0.665 0.000 0.000
Rb3 0.915 0.750 0.250
Rb4 0.585 0.750 0.250
Rb5 0.335 0.500 0.500
Rb6 0.665 0.500 0.500
Rb7 0.915 0.250 0.750
Rb8 0.585 0.250 0.750
Rb9 0.835 0.000 0.500
Rb10 0.165 0.000 0.500
Rb11 0.415 0.750 0.750
Rb12 0.085 0.750 0.750
Rb13 0.835 0.500 0.000
Rb14 0.165 0.500 0.000
Rb15 0.415 0.250 0.250
Rb16 0.085 0.250 0.250
Ca1 0.000 0.915 0.000
Ca2 0.000 0.085 0.000
Ca3 0.250 0.835 0.250
Ca4 0.250 0.665 0.250
Ca5 0.000 0.415 0.500
Ca6 0.000 0.585 0.500
Ca7 0.250 0.335 0.750
Ca8 0.250 0.165 0.750
Ca9 0.500 0.915 0.500
Ca10 0.500 0.085 0.500
Ca11 0.750 0.835 0.750
Ca12 0.750 0.665 0.750
Ca13 0.500 0.415 0.000
Ca14 0.500 0.585 0.000
Ca15 0.750 0.335 0.250
Ca16 0.750 0.165 0.250
```

=====

(3)
Material: RbCa3
Method: DFT, GGA-PBE
State: optimized geometry

Output
As for the total energy: -1.530 eV per atom. The calculation puts the density of states at the Fermi level at 4.8 states/eV/cell. Its space-group type is I4/mmm.

CIF file:
```
data_RbCa3
_cell_length_a 7.059
_cell_length_b 7.059
_cell_length_c 7.059
_cell_angle_alpha 130.80
_cell_angle_beta 130.80
_cell_angle_gamma 72.13
_space_group_name_H-M_alt 'P 1'
_space_group_IT_number 1
loop_
_space_group_symop_operation_xyz
'x,y,z'
loop_
_atom_site_label
_atom_site_fract_x
_atom_site_fract_y
_atom_site_fract_z
Rb1 0.000 0.000 0.000
Ca1 0.750 0.250 0.500
Ca2 0.250 0.750 0.500
Ca3 0.500 0.500 0.000
```

=====

(4)
Material: RbCa3Re
Method: DFT, GGA-PBE
State: optimized geometry

Output
As for the total energy: -1.741 eV per atom. The calculation puts the density of states at the Fermi level at 5.5 states/eV/cell. Its space-group type is Pm-3m.

CIF file:
```
data_RbCa3Re
_cell_length_a 5.369
_cell_length_b 5.369
_cell_length_c 5.369
_cell_angle_alpha 90.00
_cell_angle_beta 90.00
_cell_angle_gamma 90.00
_space_group_name_H-M_alt 'P 1'
_space_group_IT_number 1
loop_
_space_group_symop_operation_xyz
'x,y,z'
loop_
_atom_site_label
_atom_site_fract_x
_atom_site_fract_y
_atom_site_fract_z
Re1 0.500 0.500 0.500
Ca1 0.000 0.500 0.000
Ca2 0.000 0.000 0.500
Ca3 0.500 0.000 0.000
Rb1 0.000 0.000 0.000
```

=====

(5)
Material: Rb2CaRe
Method: DFT, GGA-PBE
State: optimized geometry

Output
As for the total energy: -2.478 eV per atom. The calculation puts the density of states at the Fermi level at 1.6 states/eV/cell. Its space-group type is Fm-3m.

CIF file:
```
data_Rb2CaRe
_cell_length_a 6.082
_cell_length_b 6.082
_cell_length_c 6.082
_cell_angle_alpha 60.00
_cell_angle_beta 60.00
_cell_angle_gamma 60.00
_space_group_name_H-M_alt 'P 1'
_space_group_IT_number 1
loop_
_space_group_symop_operation_xyz
'x,y,z'
loop_
_atom_site_label
_atom_site_fract_x
_atom_site_fract_y
_atom_site_fract_z
Re1 0.500 0.500 0.500
Ca1 0.000 0.000 0.000
Rb1 0.250 0.250 0.250
Rb2 0.750 0.750 0.750
```

=====

(6)
Material: RbCa3Re
Method: DFT, GGA-PBE
State: optimized geometry

Output
As for the total energy: -3.242 eV per atom. The calculation puts the density of states at the Fermi level at 0.2 states/eV/cell. Its space-group type is Pm-3m.

CIF file:
```
data_RbCa3Re
_cell_length_a 5.777
_cell_length_b 5.777
_cell_length_c 5.777
_cell_angle_alpha 90.00
_cell_angle_beta 90.00
_cell_angle_gamma 90.00
_space_group_name_H-M_alt 'P 1'
_space_group_IT_number 1
loop_
_space_group_symop_operation_xyz
'x,y,z'
loop_
_atom_site_label
_atom_site_fract_x
_atom_site_fract_y
_atom_site_fract_z
Re1 0.000 0.000 0.000
Ca1 0.000 0.500 0.000
Ca2 0.000 0.000 0.500
Ca3 0.500 0.000 0.000
Rb1 0.500 0.500 0.500
```